No. 1
First-principles (GGA-PBE) data for a relaxed RbSi crystal, as listed in Alexandria.

Values from the calculation:
- offset from the most stable computed form (meV/atom) = 154
- total DFT energy (no corrections) (eV/atom) = -3.090
- magnetization (μB per formula unit) = 0.00

```
RbSi
1.0
-1.972 4.909 4.624
1.972 -4.909 4.624
1.972 4.909 -4.624
Rb Si
2 2
direct
0.249 0.250 0.499
0.751 0.750 0.501
0.684 0.999 0.184
0.815 0.499 0.816
```


No. 2
First-principles (GGA-PBE) data for a relaxed BeRhF2 crystal, as listed in Alexandria.

Values from the calculation:
- offset from the most stable computed form (meV/atom) = 365
- total DFT energy (no corrections) (eV/atom) = -5.134
- magnetization (μB per formula unit) = 1.25

```
BeRhF2
1.0
-2.554 2.554 3.623
2.554 -2.554 3.623
2.554 2.554 -3.623
Be Rh F
2 2 4
direct
0.375 0.625 0.750
0.625 0.375 0.250
0.125 0.875 0.250
0.875 0.125 0.750
0.000 0.500 0.500
0.500 0.000 0.000
0.500 0.500 0.000
0.500 0.500 0.500
```